Entry from Alexandria: crystalline NaTm3Sc2Te6 at its relaxed geometry (PBE).

abc: 4.2718 8.6061 9.5822
angles: 103.04 102.88 90.00
Sites, in units of the cell vectors:
Te1 0.9947 0.7455 0.9893
Te2 0.3299 0.9078 0.6598
Sc1 0.8297 0.6510 0.6594
Te3 0.3324 0.4187 0.6647
Sc2 0.1703 0.3490 0.3406
Tm1 0.8376 0.1735 0.6752
Na1 0.5000 0.0000 0.0000
Te4 0.6676 0.5813 0.3353
Te5 0.6701 0.0922 0.3402
Tm2 0.5000 0.5000 0.0000
Te6 0.0053 0.2545 0.0107
Tm3 0.1624 0.8265 0.3248

Calculated values
* symmetry: C2/m, No. 12
* density of states at the Fermi level: 0.444 states/eV per atom
* total magnetization: 0.000 μB per formula unit
* calculated density: 6.886 g/cm³
* raw formation energy: -1.1822 eV/atom